(1)
First-principles (PBE) data for a relaxed Sn2OsBr crystal, as listed in the Alexandria database.

The value obtained for the total energy is -4.76 eV per atom. The calculation puts the uncorrected formation energy at 0.469 eV/atom. For the energy above the lowest structure with this stoichiometry, the calculation gives 0.0000 eV per atom. The calculation puts the size of the total moment at 0.00 μB per formula unit.

The space group is I-42d (No. 122) and the conventional cell measures 6.4898, 6.4898 and 12.7774 Å, with angles of 90.00, 90.00 and 90.00 degrees. The inequivalent atoms are Sn at (0.1704, 0.2500, 0.1250), Os at (0.0000, 0.0000, 0.0000) and Br at (0.0000, 0.0000, 0.5000).

=====

(2)
First-principles (PBE) data for a relaxed SnOsBr3 crystal, as listed in the Alexandria database.

The value obtained for the total energy is -3.56 eV per atom. The calculation puts the uncorrected formation energy at 0.489 eV/atom. For the energy above the lowest structure with this stoichiometry, the calculation gives 0.0000 eV per atom. The calculation puts the size of the total moment at 0.00 μB per formula unit.

The space group is Pm-3m (No. 221) and the conventional cell measures 5.0742, 5.0742 and 5.0742 Å, with angles of 90.00, 90.00 and 90.00 degrees. The inequivalent atoms are Sn at (0.0000, 0.0000, 0.0000), Os at (0.5000, 0.5000, 0.5000) and Br at (0.0000, 0.5000, 0.5000).

=====

(3)
First-principles (PBE) data for a relaxed SnOs3Br crystal, as listed in the Alexandria database.

The value obtained for the total energy is -5.58 eV per atom. The calculation puts the uncorrected formation energy at 2.298 eV/atom. For the energy above the lowest structure with this stoichiometry, the calculation gives 0.0000 eV per atom. The calculation puts the size of the total moment at 0.00 μB per formula unit.

The space group is Pm-3m (No. 221) and the conventional cell measures 4.6217, 4.6217 and 4.6217 Å, with angles of 90.00, 90.00 and 90.00 degrees. The inequivalent atoms are Sn at (0.0000, 0.0000, 0.0000), Os at (0.0000, 0.5000, 0.5000) and Br at (0.5000, 0.5000, 0.5000).

=====

(4)
First-principles (PBE) data for a relaxed SnOs3Br crystal, as listed in the Alexandria database.

The value obtained for the total energy is -5.05 eV per atom. The calculation puts the uncorrected formation energy at 2.825 eV/atom. For the energy above the lowest structure with this stoichiometry, the calculation gives 0.5271 eV per atom. The calculation puts the size of the total moment at 6.25 μB per formula unit.

The space group is Pm-3m (No. 221) and the conventional cell measures 4.9923, 4.9923 and 4.9923 Å, with angles of 90.00, 90.00 and 90.00 degrees. The inequivalent atoms are Sn at (0.0000, 0.0000, 0.0000), Os at (0.0000, 0.0000, 0.5000) and Br at (0.5000, 0.5000, 0.5000).